[1]
## Lu2ZnIr (PBEsol)

Data for crystalline Lu2ZnIr at its relaxed geometry.

Output
Formation energy in eV/atom: -0.696
Space group: Fm-3m (225)
Total DFT energy (no corrections) in eV/atom: -5.983

Cell and atoms, written as POSCAR:
```
Lu2ZnIr
1.0
-1.225 -1.545 4.314
3.329 -0.677 3.310
0.266 2.920 3.728
Zn Ir Lu
1 1 2
Direct
0.000 0.000 0.000
0.500 0.500 0.500
0.250 0.250 0.250
0.750 0.750 0.750
```

---

[2]
## NaScNb2 (PBEsol)

Data for crystalline NaScNb2 at its relaxed geometry.

Output
Formation energy in eV/atom: 0.996
Space group: Fm-3m (225)
Total DFT energy (no corrections) in eV/atom: -6.416

Cell and atoms, written as POSCAR:
```
NaScNb2
1.0
-4.567 1.168 0.838
-3.464 -1.697 -2.837
-3.050 -3.299 1.656
Sc Na Nb
1 1 2
Direct
0.500 0.500 0.500
0.000 0.000 0.000
0.250 0.250 0.250
0.750 0.750 0.750
```

---

[3]
## Sc2AsBr (PBEsol)

Data for crystalline Sc2AsBr at its relaxed geometry.

Output
Space group: Fm-3m (225)
Total DFT energy (no corrections) in eV/atom: -6.043
E_form (uncorrected) in kJ/mol of formula units: -385

Cell and atoms, written as POSCAR:
```
Sc2AsBr
1.0
4.766 0.000 0.000
2.383 4.128 0.000
2.383 1.376 3.892
As Br Sc
1 1 2
Direct
0.500 0.500 0.500
0.000 0.000 0.000
0.750 0.750 0.750
0.250 0.250 0.250
```

---

[4]
## InMo2Rh (PBEsol)

Data for crystalline InMo2Rh at its relaxed geometry.

Output
Formation energy in eV/atom: 0.173
Space group: C2/m (12)
Total DFT energy (no corrections) in eV/atom: -8.491

Cell and atoms, written as POSCAR:
```
InMo2Rh
1.0
2.767 0.089 0.152
-0.157 5.086 0.030
-0.157 -2.471 4.446
In Mo Rh
1 2 1
Direct
0.500 0.000 0.000
0.000 0.000 0.500
0.000 0.500 0.000
0.500 0.500 0.500
```

---

[5]
## SrRh2Au (PBEsol)

Data for crystalline SrRh2Au at its relaxed geometry.

Output
Formation energy in eV/atom: 0.168
Space group: P2/m (10)
Total DFT energy (no corrections) in eV/atom: -5.342

Cell and atoms, written as POSCAR:
```
SrRh2Au
1.0
2.925 0.000 -0.010
0.000 4.639 0.000
-0.921 0.000 5.467
Au Rh Sr
1 2 1
Direct
0.000 0.500 0.500
0.813 0.000 0.699
0.187 0.000 0.301
0.500 0.500 0.000
```

---

[6]
## K2OsCl (PBEsol)

Data for crystalline K2OsCl at its relaxed geometry.

Output
Space group: Amm2 (38)
Total DFT energy (no corrections) in eV/atom: -3.565
E_form (uncorrected) in kJ/mol of formula units: 215
Polymorph energy (0 for the lowest one) in meV/atom: 183

Cell and atoms, written as POSCAR:
```
K2OsCl
1.0
-2.683 0.169 0.476
-0.565 -5.813 -1.123
2.321 -1.337 5.727
K Os Cl
2 1 1
Direct
0.010 0.125 0.019
0.246 0.625 0.493
0.500 0.625 0.001
0.744 0.125 0.487
```

---

[7]
## Li3HgTe (PBEsol)

Data for crystalline Li3HgTe at its relaxed geometry.

Output
Space group: Pm-3m (221)
Total DFT energy (no corrections) in eV/atom: -2.417
E_form (uncorrected) in kJ/mol of formula units: -202

Cell and atoms, written as POSCAR:
```
Li3HgTe
1.0
5.145 0.000 0.000
0.000 5.145 0.000
0.000 0.000 5.145
Te Hg Li
1 1 3
Direct
0.000 0.000 0.000
0.500 0.500 0.500
0.000 0.500 0.000
0.000 0.000 0.500
0.500 0.000 0.000
```

---

[8]
## SbMo (PBEsol)

Data for crystalline SbMo at its relaxed geometry.

Output
Space group: R-3m (166)
Total DFT energy (no corrections) in eV/atom: -7.914
E_form (uncorrected) in kJ/mol of formula units: 48

Cell and atoms, written as POSCAR:
```
SbMo
1.0
-1.655 2.613 -0.240
-0.655 1.170 -2.797
-9.507 -4.297 -1.291
Mo Sb
2 2
Direct
0.136 0.136 0.593
0.864 0.864 0.407
0.603 0.603 0.192
0.397 0.397 0.808
```

---

[9]
## Mg2BeNi (PBEsol)

Data for crystalline Mg2BeNi at its relaxed geometry.

Output
Formation energy in eV/atom: -0.084
Space group: P4mm (99)
Total DFT energy (no corrections) in eV/atom: -3.482

Cell and atoms, written as POSCAR:
```
Mg2BeNi
1.0
-1.551 -2.448 0.142
1.064 -0.823 -2.571
5.196 -3.110 3.145
Ni Mg Be
1 2 1
Direct
0.000 0.000 0.562
0.000 0.000 0.950
0.500 0.500 0.306
0.500 0.500 0.682
```

---

[10]
## ZrTa2Cl (PBEsol)

Data for crystalline ZrTa2Cl at its relaxed geometry.

Output
Space group: Cmm2 (35)
Total DFT energy (no corrections) in eV/atom: -9.178
E_form (uncorrected) in kJ/mol of formula units: -49
Polymorph energy (0 for the lowest one) in meV/atom: 0

Cell and atoms, written as POSCAR:
```
ZrTa2Cl
1.0
-0.369 -2.872 0.711
2.718 0.483 -1.128
3.071 1.604 8.082
Cl Zr Ta
1 1 2
Direct
0.500 0.500 0.251
0.000 0.000 0.492
0.000 0.000 0.998
0.500 0.500 0.759
```

---

[11]
## SrHgN2 (PBEsol)

Data for crystalline SrHgN2 at its relaxed geometry.

Output
Space group: I-42d (122)
Total DFT energy (no corrections) in eV/atom: -4.205
E_form (uncorrected) in kJ/mol of formula units: 255

Cell and atoms, written as POSCAR:
```
SrHgN2
1.0
4.911 0.000 0.000
0.000 4.911 0.000
-2.456 -2.456 6.305
Sr Hg N
2 2 4
Direct
0.750 0.250 0.500
0.500 0.500 0.000
0.250 0.750 0.500
0.000 0.000 0.000
0.322 0.875 0.250
0.928 0.375 0.250
0.125 0.072 0.750
0.625 0.678 0.750
```

---

[12]
## ZnSb2Pb (PBEsol)

Data for crystalline ZnSb2Pb at its relaxed geometry.

Output
Space group: P4mm (99)
Total DFT energy (no corrections) in eV/atom: -3.517
E_form (uncorrected) in kJ/mol of formula units: 61

Cell and atoms, written as POSCAR:
```
ZnSb2Pb
1.0
3.852 0.000 0.000
0.000 3.852 0.000
0.000 0.000 6.857
Pb Sb Zn
1 2 1
Direct
0.500 0.500 0.709
0.000 0.000 0.051
0.500 0.500 0.250
0.000 0.000 0.491
```

---

| no. | magnetic moment (μB/atom) |
| --- | --- |
| 1 | 0.000 |
| 2 | 0.000 |
| 3 | 0.291 |
| 4 | 0.000 |
| 5 | 0.000 |
| 6 | 0.273 |
| 7 | 0.000 |
| 8 | 0.000 |
| 9 | 0.000 |
| 10 | 0.000 |
| 11 | 0.507 |
| 12 | 0.000 |